# 1
Below is an optimized crystal structure of KOsSe2, with properties calculated at the PBEsol level.

- DOS(E_F) (states/eV/cell) = 3.7
- crystal system = tetragonal
- magnetic moment (μB/atom) = 0.0035
- calculated volume (Å³/cell) = 78
- ΔE_f (raw) (meV/atom) = 114

abc: 3.181 3.181 7.754
angles: 90.00 90.00 90.00
Fractional coordinates of all 4 atoms:
K1 0.000 0.000 0.000
Os1 0.000 0.000 0.500
Se1 0.500 0.500 0.310
Se2 0.500 0.500 0.690

# 2
Below is an optimized crystal structure of KOs2Se, with properties calculated at the PBEsol level.

- DOS(E_F) (states/eV/cell) = 2.8
- crystal system = trigonal
- magnetic moment (μB/atom) = 0.0001
- calculated volume (Å³/cell) = 70
- ΔE_f (raw) (meV/atom) = 665

abc: 9.837 9.837 9.837
angles: 16.85 16.85 16.85
Fractional coordinates of all 4 atoms:
K1 0.000 0.000 0.000
Os1 0.234 0.234 0.234
Os2 0.498 0.498 0.498
Se1 0.762 0.762 0.762

# 3
Below is an optimized crystal structure of KOsSe2, with properties calculated at the PBEsol level.

- DOS(E_F) (states/eV/cell) = 1.1
- crystal system = tetragonal
- magnetic moment (μB/atom) = 0.0000
- calculated volume (Å³/cell) = 87
- ΔE_f (raw) (meV/atom) = 184

abc: 3.040 3.040 9.376
angles: 90.00 90.00 90.00
Fractional coordinates of all 4 atoms:
K1 0.000 0.000 0.000
Os1 0.500 0.500 0.294
Se1 0.000 0.000 0.420
Se2 0.500 0.500 0.740